Na2Ga3Pt: optimized geometry, PBE.

Results
**SG**: C2/m
**Mass density**: 6.6 g/cm³
**E_form**: -0.31 eV/atom
**M_tot**: 0.0 μB/f.u.
**Energy**: -19.6 eV for the cell shown

a b c (Å): 5.508 5.508 5.352
angles (deg): 89.78 120.38 120.83
Element x y z (fractional)
Pt 0.000 0.000 0.000
Na 0.746 0.373 0.119
Na 0.254 0.627 0.881
Ga 0.500 0.000 0.500
Ga 0.000 0.000 0.500
Ga 0.500 0.500 0.500